No. 1
# MnNi2Hg (PBEsol, optimized geometry)
# V   13.201 A^3/atom
# N(E_F)   1.68 states/eV/f.u.
# Calculated formation energy   113 meV per atom
data_MnNi2Hg
_chemical_formula_sum 'Mn2 Ni4 Hg2'
_space_group_name_H-M_alt 'I 4/m m m'
_space_group_IT_number 139
_space_group_name_Hall '-I 4 2'
_cell_length_a 3.884
_cell_length_b 3.884
_cell_length_c 7.002
_cell_angle_alpha 90.00
_cell_angle_beta 90.00
_cell_angle_gamma 90.00
loop_
_atom_site_label
_atom_site_type_symbol
_atom_site_fract_x
_atom_site_fract_y
_atom_site_fract_z
_atom_site_occupancy
Mn1 Mn 0.000 0.000 0.000 1
Ni1 Ni 0.000 0.500 0.250 1
Hg1 Hg 0.000 0.000 0.500 1

No. 2
# MnNi2Hg (PBEsol, optimized geometry)
# V   13.370 A^3/atom
# N(E_F)   3.05 states/eV/f.u.
# Calculated formation energy   180 meV per atom
data_MnNi2Hg
_chemical_formula_sum 'Mn1 Ni2 Hg1'
_space_group_name_H-M_alt 'P 4 m m'
_space_group_IT_number 99
_cell_length_a 3.075
_cell_length_b 3.075
_cell_length_c 5.655
_cell_angle_alpha 90.00
_cell_angle_beta 90.00
_cell_angle_gamma 90.00
loop_
_space_group_symop_operation_xyz
'x,y,z'
'-y,x,z'
'-x,-y,z'
'y,-x,z'
'-x,y,z'
'y,x,z'
'x,-y,z'
'-y,-x,z'
loop_
_atom_site_label
_atom_site_type_symbol
_atom_site_fract_x
_atom_site_fract_y
_atom_site_fract_z
_atom_site_occupancy
Mn1 Mn 0.000 0.000 0.000 1
Ni1 Ni 0.000 0.000 0.425 1
Ni2 Ni 0.500 0.500 0.205 1
Hg1 Hg 0.500 0.500 0.694 1

No. 3
# MnNi2Hg (PBEsol, optimized geometry)
# V   13.347 A^3/atom
# N(E_F)   0.91 states/eV/f.u.
# Calculated formation energy   124 meV per atom
data_MnNi2Hg
_chemical_formula_sum 'Mn1 Ni2 Hg1'
_space_group_name_H-M_alt 'P 4/m m m'
_space_group_IT_number 123
_space_group_name_Hall '-P 4 2'
_cell_length_a 3.900
_cell_length_b 3.900
_cell_length_c 3.509
_cell_angle_alpha 90.00
_cell_angle_beta 90.00
_cell_angle_gamma 90.00
loop_
_atom_site_label
_atom_site_type_symbol
_atom_site_fract_x
_atom_site_fract_y
_atom_site_fract_z
_atom_site_occupancy
Mn1 Mn 0.000 0.000 0.000 1
Ni1 Ni 0.000 0.500 0.500 1
Hg1 Hg 0.500 0.500 0.000 1

No. 4
# MnNi2Hg (PBEsol, optimized geometry)
# V   13.386 A^3/atom
# N(E_F)   3.08 states/eV/f.u.
# Calculated formation energy   247 meV per atom
data_MnNi2Hg
_chemical_formula_sum 'Mn4 Ni8 Hg4'
_space_group_name_H-M_alt 'F -4 3 m'
_space_group_IT_number 216
_space_group_name_Hall 'F -4 2 3'
_cell_length_a 5.983
_cell_length_b 5.983
_cell_length_c 5.983
_cell_angle_alpha 90.00
_cell_angle_beta 90.00
_cell_angle_gamma 90.00
loop_
_atom_site_label
_atom_site_type_symbol
_atom_site_fract_x
_atom_site_fract_y
_atom_site_fract_z
_atom_site_occupancy
Mn1 Mn 0.000 0.000 0.000 1
Ni1 Ni 0.000 0.000 0.500 1
Ni2 Ni 0.250 0.250 0.750 1
Hg1 Hg 0.250 0.250 0.250 1

No. 5
# Mn2HgO4 (PBEsol, optimized geometry)
# V   12.097 A^3/atom
# Raw formation energy   -1.18 eV per atom
# N(E_F)   0.77 states/eV/f.u.
data_Mn2HgO4
_chemical_formula_sum 'Mn8 Hg4 O16'
_space_group_name_H-M_alt 'I 41/a m d'
_space_group_IT_number 141
_cell_length_a 5.856
_cell_length_b 5.856
_cell_length_c 9.879
_cell_angle_alpha 90.00
_cell_angle_beta 90.00
_cell_angle_gamma 90.00
loop_
_space_group_symop_operation_xyz
'x,y,z'
'-x,-y,-z'
'-y+1/4,x+3/4,z+1/4'
'y+1/4,-x+3/4,-z+1/4'
'-x+1/2,-y,z+1/2'
'x+1/2,y,-z+1/2'
'y+1/4,-x+1/4,z+3/4'
'-y+1/4,x+1/4,-z+3/4'
'x,-y,-z'
'-x,y,z'
'-y+1/4,-x+1/4,-z+3/4'
'y+1/4,x+1/4,z+3/4'
'-x+1/2,y,-z+1/2'
'x+1/2,-y,z+1/2'
'y+1/4,x+3/4,-z+1/4'
'-y+1/4,-x+3/4,z+1/4'
'x+1/2,y+1/2,z+1/2'
'-x+1/2,-y+1/2,-z+1/2'
'-y+3/4,x+1/4,z+3/4'
'y+3/4,-x+1/4,-z+3/4'
'-x,-y+1/2,z'
'x,y+1/2,-z'
'y+3/4,-x+3/4,z+1/4'
'-y+3/4,x+3/4,-z+1/4'
'x+1/2,-y+1/2,-z+1/2'
'-x+1/2,y+1/2,z+1/2'
'-y+3/4,-x+3/4,-z+1/4'
'y+3/4,x+3/4,z+1/4'
'-x,y+1/2,-z'
'x,-y+1/2,z'
'y+3/4,x+1/4,-z+3/4'
'-y+3/4,-x+1/4,z+3/4'
loop_
_atom_site_label
_atom_site_type_symbol
_atom_site_fract_x
_atom_site_fract_y
_atom_site_fract_z
_atom_site_occupancy
Mn1 Mn 0.000 0.000 0.000 1
Hg1 Hg 0.000 0.250 0.375 1
O1 O 0.000 0.037 0.772 1

No. 6
# MnHgP2O (PBEsol, optimized geometry)
# V   19.651 A^3/atom
# Raw formation energy   1.16 eV per atom
# N(E_F)   4.63 states/eV/f.u.
data_MnHgP2O
_chemical_formula_sum 'Mn1 Hg1 P2 O1'
_space_group_name_H-M_alt 'P 4/m m m'
_space_group_IT_number 123
_space_group_name_Hall '-P 4 2'
_cell_length_a 4.958
_cell_length_b 4.958
_cell_length_c 3.997
_cell_angle_alpha 90.00
_cell_angle_beta 90.00
_cell_angle_gamma 90.00
loop_
_atom_site_label
_atom_site_type_symbol
_atom_site_fract_x
_atom_site_fract_y
_atom_site_fract_z
_atom_site_occupancy
Mn1 Mn 0.000 0.000 0.000 1
Hg1 Hg 0.500 0.500 0.500 1
P1 P 0.000 0.500 0.500 1
O1 O 0.500 0.500 0.000 1

No. 7
# MnHgOs2 (PBEsol, optimized geometry)
# V   14.762 A^3/atom
# N(E_F)   4.32 states/eV/f.u.
# Calculated formation energy   705 meV per atom
data_MnHgOs2
_chemical_formula_sum 'Mn1 Hg1 Os2'
_space_group_name_H-M_alt 'P 4/m m m'
_space_group_IT_number 123
_space_group_name_Hall '-P 4 2'
_cell_length_a 3.885
_cell_length_b 3.885
_cell_length_c 3.913
_cell_angle_alpha 90.00
_cell_angle_beta 90.00
_cell_angle_gamma 90.00
loop_
_atom_site_label
_atom_site_type_symbol
_atom_site_fract_x
_atom_site_fract_y
_atom_site_fract_z
_atom_site_occupancy
Mn1 Mn 0.000 0.000 0.000 1
Hg1 Hg 0.500 0.500 0.000 1
Os1 Os 0.000 0.500 0.500 1

No. 8
# Mn2HgOs (PBEsol, optimized geometry)
# V   14.257 A^3/atom
# N(E_F)   4.59 states/eV/f.u.
# Calculated formation energy   476 meV per atom
data_Mn2HgOs
_chemical_formula_sum 'Mn4 Hg2 Os2'
_space_group_name_H-M_alt 'C 1 m 1'
_space_group_IT_number 8
_cell_length_a 8.813
_cell_length_b 2.788
_cell_length_c 4.720
_cell_angle_alpha 90.00
_cell_angle_beta 100.44
_cell_angle_gamma 90.00
loop_
_space_group_symop_operation_xyz
'x,y,z'
'x,-y,z'
'x+1/2,y+1/2,z'
'x+1/2,-y+1/2,z'
loop_
_atom_site_label
_atom_site_type_symbol
_atom_site_fract_x
_atom_site_fract_y
_atom_site_fract_z
_atom_site_occupancy
Mn1 Mn 0.000 0.000 0.000 1
Mn2 Mn 0.248 0.500 0.258 1
Hg1 Hg 0.004 0.500 0.503 1
Os1 Os 0.263 0.000 0.819 1

No. 9
# MnHgOs2 (PBEsol, optimized geometry)
# V   14.565 A^3/atom
# N(E_F)   3.09 states/eV/f.u.
# Calculated formation energy   433 meV per atom
data_MnHgOs2
_chemical_formula_sum 'Mn3 Hg3 Os6'
_space_group_name_H-M_alt 'R -3 m'
_space_group_IT_number 166
_space_group_name_Hall '-R 3 2"'
_cell_length_a 2.7296
_cell_length_b 2.7296
_cell_length_c 27.0866
_cell_angle_alpha 90.00
_cell_angle_beta 90.00
_cell_angle_gamma 120.00
loop_
_atom_site_label
_atom_site_type_symbol
_atom_site_fract_x
_atom_site_fract_y
_atom_site_fract_z
_atom_site_occupancy
Mn1 Mn 0.0000 0.0000 0.0000 1
Hg1 Hg 0.0000 0.0000 0.5000 1
Os1 Os 0.0000 0.0000 0.2610 1

No. 10
# Mn2HgOs (PBEsol, optimized geometry)
# V   14.289 A^3/atom
# N(E_F)   3.19 states/eV/f.u.
# Calculated formation energy   374 meV per atom
data_Mn2HgOs
_chemical_formula_sum 'Mn2 Hg1 Os1'
_space_group_name_H-M_alt 'P 4 m m'
_space_group_IT_number 99
_cell_length_a 2.761
_cell_length_b 2.761
_cell_length_c 7.499
_cell_angle_alpha 90.00
_cell_angle_beta 90.00
_cell_angle_gamma 90.00
loop_
_space_group_symop_operation_xyz
'x,y,z'
'-y,x,z'
'-x,-y,z'
'y,-x,z'
'-x,y,z'
'y,x,z'
'x,-y,z'
'-y,-x,z'
loop_
_atom_site_label
_atom_site_type_symbol
_atom_site_fract_x
_atom_site_fract_y
_atom_site_fract_z
_atom_site_occupancy
Mn1 Mn 0.000 0.000 0.000 1
Mn2 Mn 0.500 0.500 0.221 1
Hg1 Hg 0.000 0.000 0.501 1
Os1 Os 0.500 0.500 0.802 1

No. 11
# MnHgOs2 (PBEsol, optimized geometry)
# V   15.081 A^3/atom
# N(E_F)   3.67 states/eV/f.u.
# Calculated formation energy   655 meV per atom
data_MnHgOs2
_chemical_formula_sum 'Mn1 Hg1 Os2'
_space_group_name_H-M_alt 'P 1 2/m 1'
_space_group_IT_number 10
_cell_length_a 2.755
_cell_length_b 4.185
_cell_length_c 5.352
_cell_angle_alpha 90.00
_cell_angle_beta 102.10
_cell_angle_gamma 90.00
loop_
_space_group_symop_operation_xyz
'x,y,z'
'-x,-y,-z'
'-x,y,-z'
'x,-y,z'
loop_
_atom_site_label
_atom_site_type_symbol
_atom_site_fract_x
_atom_site_fract_y
_atom_site_fract_z
_atom_site_occupancy
Mn1 Mn 0.000 0.000 0.000 1
Hg1 Hg 0.000 0.000 0.500 1
Os1 Os 0.371 0.500 0.218 1

No. 12
# MnHgOs2 (PBEsol, optimized geometry)
# V   15.117 A^3/atom
# N(E_F)   2.50 states/eV/f.u.
# Calculated formation energy   434 meV per atom
data_MnHgOs2
_chemical_formula_sum 'Mn1 Hg1 Os2'
_space_group_name_H-M_alt 'P m m 2'
_space_group_IT_number 25
_cell_length_a 2.808
_cell_length_b 3.811
_cell_length_c 5.650
_cell_angle_alpha 90.00
_cell_angle_beta 90.00
_cell_angle_gamma 90.00
loop_
_space_group_symop_operation_xyz
'x,y,z'
'-x,-y,z'
'-x,y,z'
'x,-y,z'
loop_
_atom_site_label
_atom_site_type_symbol
_atom_site_fract_x
_atom_site_fract_y
_atom_site_fract_z
_atom_site_occupancy
Mn1 Mn 0.000 0.000 0.000 1
Hg1 Hg 0.500 0.500 0.741 1
Os1 Os 0.000 0.000 0.440 1
Os2 Os 0.500 0.500 0.243 1

What did the tenth record say?
# Mn2HgOs (PBEsol, optimized geometry)
# V   14.289 A^3/atom
# N(E_F)   3.19 states/eV/f.u.
# Calculated formation energy   374 meV per atom
data_Mn2HgOs
_chemical_formula_sum 'Mn2 Hg1 Os1'
_space_group_name_H-M_alt 'P 4 m m'
_space_group_IT_number 99
_cell_length_a 2.761
_cell_length_b 2.761
_cell_length_c 7.499
_cell_angle_alpha 90.00
_cell_angle_beta 90.00
_cell_angle_gamma 90.00
loop_
_space_group_symop_operation_xyz
'x,y,z'
'-y,x,z'
'-x,-y,z'
'y,-x,z'
'-x,y,z'
'y,x,z'
'x,-y,z'
'-y,-x,z'
loop_
_atom_site_label
_atom_site_type_symbol
_atom_site_fract_x
_atom_site_fract_y
_atom_site_fract_z
_atom_site_occupancy
Mn1 Mn 0.000 0.000 0.000 1
Mn2 Mn 0.500 0.500 0.221 1
Hg1 Hg 0.000 0.000 0.501 1
Os1 Os 0.500 0.500 0.802 1

- What is the N(E_F) in the seventh record?
  4.32 states/eV/f.u.